## CaMo2O4 (GGA+U)

Data for crystalline CaMo2O4 at its relaxed geometry.

Unit cell a=6.3828 b=6.6649 c=9.1755 alpha=90.00 beta=90.00 gamma=90.00
Last column: nearest neighbours and their distance in Å.
Space group Imma (No. 74)
Asymmetric unit:
Ca (0.0000, 0.0000, 0.0000) (multiplicity 4)  6 O 2.32-2.36
Mo (0.0000, 0.2500, 0.3605) (multiplicity 4)  4 O 2.08-2.11
Mo (0.2500, 0.2500, 0.7500) (multiplicity 4)  6 O 2.17-2.18
O (0.0000, 0.0266, 0.7440) (multiplicity 8)  3 Mo 2.08-2.18
O (0.2471, 0.2500, 0.5140) (multiplicity 8)  2 Mo 2.11-2.17, 2 Ca 2.32

Properties
- Total energy: -6.923 eV/atom